[1]
The following is a PBE calculation of a relaxed TlAg2Pd2 crystal, from Alexandria via LeMat-Bulk.

## Properties
Spin magnetization (μB/atom): 0.00
Excess energy over the best structure of this formula in the dataset (eV per formula unit): 0.86
Space-group type: I4/mmm, No. 139

Structure (POSCAR):
```
TlAg2Pd2
1.0
3.8227 0.0000 0.0000
0.0000 3.8227 0.0000
1.9113 1.9113 6.8077
Pd Ag Tl
2 2 1
Direct
0.4020 0.4020 0.1960
0.5980 0.5980 0.8040
0.7500 0.2500 0.5000
0.2500 0.7500 0.5000
0.0000 0.0000 0.0000
```


[2]
The following is a PBE calculation of a relaxed Li4DyAg8 crystal, from Alexandria via LeMat-Bulk.

## Properties
Spin magnetization (μB/atom): 0.00
Total energy (Ha/atom): -0.106
Space-group type: I4/mmm, No. 139

Structure (POSCAR):
```
Li4DyAg8
1.0
4.8370 0.0000 1.9443
2.4185 6.6251 0.9721
-0.0523 0.0000 7.1192
Ag Li Dy
8 4 1
Direct
0.7161 0.7839 0.7839
0.3474 0.6526 0.6526
0.5000 0.2161 0.7839
0.5000 0.7839 0.2161
0.6526 0.3474 0.3474
0.0000 0.3474 0.6526
0.0000 0.6526 0.3474
0.2839 0.2161 0.2161
0.5000 0.0000 0.5000
0.0000 0.5000 0.0000
0.0000 0.0000 0.5000
0.5000 0.5000 0.0000
0.0000 0.0000 0.0000
```


[3]
The following is a PBE calculation of a relaxed Nd2Dy3Er8 crystal, from Alexandria via LeMat-Bulk.

## Properties
Spin magnetization (μB/atom): 0.00
Total energy (Ha/atom): -0.160
Space-group type: P2/m, No. 10

Structure (POSCAR):
```
Nd2Dy3Er8
1.0
5.4528 0.0000 0.7542
0.0002 7.5778 -0.0014
-1.4172 -3.7908 10.2420
Nd Er Dy
2 8 3
Direct
0.4999 0.2401 0.4809
0.5001 0.7599 0.5191
0.9999 0.3385 0.6776
0.0000 0.8719 0.7436
0.5001 0.3940 0.2141
0.0000 0.1281 0.2564
0.4999 0.1795 0.7859
0.5001 0.8205 0.2141
0.4999 0.6060 0.7859
0.0001 0.6615 0.3224
0.5000 0.0000 0.0000
0.0000 0.7129 0.9999
0.0000 0.2871 0.0001
```


[4]
The following is a PBE calculation of a relaxed MgTlB2F8 crystal, from Alexandria via LeMat-Bulk.

## Properties
Spin magnetization (μB/atom): 0.03
Energy relative to the elements, uncorrected (meV/atom): -2671.3
Space-group type: R-3, No. 148

Structure (POSCAR):
```
MgTlB2F8
1.0
-3.3628 3.2087 1.3053
-3.2447 1.5432 -3.2246
-8.4208 -6.0016 1.9872
B F Tl Mg
2 8 1 1
Direct
0.7230 0.7230 0.8309
0.2770 0.2770 0.1691
0.5912 0.2509 0.1153
0.2327 0.2327 0.3018
0.0426 0.5912 0.1153
0.9574 0.4088 0.8847
0.2509 0.0426 0.1153
0.7491 0.9574 0.8847
0.4088 0.7491 0.8847
0.7673 0.7673 0.6982
0.5000 0.5000 0.5000
0.0000 0.0000 0.0000
```


[5]
The following is a PBE calculation of a relaxed K2H4Pt crystal, from Alexandria via LeMat-Bulk.

## Properties
Spin magnetization (μB/atom): 0.00
Total energy (Ha/atom): -0.129
Space-group type: I4/mmm, No. 139

Structure (POSCAR):
```
K2H4Pt
1.0
5.5951 -0.0858 -0.1280
-2.5913 4.9596 0.1280
-2.5913 -1.7654 4.6365
Pt H K
1 4 2
Direct
0.0000 0.0000 0.0000
0.0000 0.7945 0.2055
0.5891 0.7945 0.7945
0.4109 0.2055 0.2055
0.0000 0.2055 0.7945
0.5000 0.2500 0.7500
0.5000 0.7500 0.2500
```


[6]
The following is a PBE calculation of a relaxed NaTePI2 crystal, from Alexandria via LeMat-Bulk.

## Properties
Spin magnetization (μB/atom): 0.00
Excess energy over the best structure of this formula in the dataset (eV per formula unit): 0.00
Energy relative to the elements, uncorrected (meV/atom): -113.7
Space-group type: P4/mmm, No. 123

Structure (POSCAR):
```
NaTePI2
1.0
-1.0204 1.2539 5.3834
-5.4074 -1.3612 -0.7079
1.0980 -5.0858 1.3927
Te Na P I
1 1 1 2
Direct
0.0000 0.0000 0.5000
0.5000 0.5000 0.5000
0.0000 0.0000 0.0000
0.5000 0.0000 0.0000
0.0000 0.5000 0.0000
```


[7]
The following is a PBE calculation of a relaxed SmCuBr2 crystal, from Alexandria via LeMat-Bulk.

## Properties
Spin magnetization (μB/atom): 0.00
Energy relative to the elements, uncorrected (meV/atom): -478.0
Space-group type: R-3m, No. 166

Structure (POSCAR):
```
SmCuBr2
1.0
3.8742 0.0000 0.0000
1.9371 3.3551 0.0000
1.9371 1.1184 8.6307
Cu Br Sm
1 2 1
Direct
0.5000 0.5000 0.5000
0.1103 0.1103 0.6690
0.8897 0.8897 0.3310
0.0000 0.0000 0.0000
```


[8]
The following is a PBE calculation of a relaxed Pm5Sm5Ho crystal, from Alexandria via LeMat-Bulk.

## Properties
Spin magnetization (μB/atom): 0.00
Excess energy over the best structure of this formula in the dataset (eV per formula unit): 0.00
Space-group type: P-1, No. 2

Structure (POSCAR):
```
Pm5Sm5Ho
1.0
6.5858 -1.9817 1.2284
-1.1435 7.1935 4.8877
-1.0239 1.9316 9.4768
Sm Pm Ho
5 5 1
Direct
0.6860 0.9563 0.6797
0.0000 0.5000 0.5000
0.3140 0.0437 0.3203
0.3513 0.4940 0.7770
0.6487 0.5060 0.2230
0.1466 0.4921 0.1459
0.8534 0.5079 0.8541
0.5000 0.0000 0.0000
0.7700 0.9126 0.3539
0.2300 0.0874 0.6461
0.0000 0.0000 0.0000
```


[9]
The following is a PBE calculation of a relaxed Nd7TlIn3 crystal, from Alexandria via LeMat-Bulk.

## Properties
Spin magnetization (μB/atom): 0.00
Total energy (Ha/atom): -0.155
Space-group type: Immm, No. 71

Structure (POSCAR):
```
Nd7TlIn3
1.0
5.9884 -0.0707 -0.0905
-2.8937 7.7824 0.2903
-2.8937 -1.6051 7.6206
Nd In Tl
7 3 1
Direct
0.8217 0.8215 0.8215
0.6704 0.9400 0.4007
0.3296 0.5993 0.0600
0.6704 0.4007 0.9400
0.0000 0.5000 0.5000
0.3296 0.0600 0.5993
0.1783 0.1785 0.1785
0.5000 0.0000 0.0000
0.0000 0.2339 0.7661
0.0000 0.7661 0.2339
0.5000 0.5000 0.5000
```


[10]
The following is a PBE calculation of a relaxed BaTaAg2S4 crystal, from Alexandria via LeMat-Bulk.

## Properties
Spin magnetization (μB/atom): 0.00
Energy relative to the elements, uncorrected (meV/atom): -840.3
Space-group type: I222, No. 23

Structure (POSCAR):
```
BaTaAg2S4
1.0
7.4874 0.0000 0.0000
3.7437 5.1078 -1.1939
3.7437 0.1482 5.2434
S Ba Ta Ag
4 1 1 2
Direct
0.4764 0.5344 0.8654
0.5236 0.1346 0.4656
0.8762 0.4656 0.1346
0.1238 0.8654 0.5344
0.5000 0.0000 0.0000
0.5000 0.5000 0.5000
0.0000 0.3173 0.6827
0.0000 0.6827 0.3173
```


[11]
The following is a PBE calculation of a relaxed Dy2MnP3Ir4 crystal, from Alexandria via LeMat-Bulk.

## Properties
Spin magnetization (μB/atom): 0.17
Total energy (Ha/atom): -0.290
Space-group type: P-4m2, No. 115

Structure (POSCAR):
```
Dy2MnP3Ir4
1.0
4.0530 0.0000 0.0000
0.0000 4.0530 0.0000
0.0000 0.0000 9.9014
Ir Mn P Dy
4 1 3 2
Direct
0.0000 0.0000 0.0000
0.0000 0.5000 0.3698
0.5000 0.0000 0.6302
0.5000 0.5000 0.0000
0.5000 0.5000 0.5000
0.0000 0.5000 0.1388
0.5000 0.0000 0.8612
0.0000 0.0000 0.5000
0.5000 0.0000 0.2516
0.0000 0.5000 0.7484
```


[12]
The following is a PBE calculation of a relaxed Ta2MoP2 crystal, from Alexandria via LeMat-Bulk.

## Properties
Spin magnetization (μB/atom): 0.00
Excess energy over the best structure of this formula in the dataset (eV per formula unit): 2.51
Space-group type: I4/mmm, No. 139

Structure (POSCAR):
```
Ta2MoP2
1.0
4.7611 0.0000 0.0000
0.0000 4.7611 0.0000
2.3805 2.3805 3.6532
P Ta Mo
2 2 1
Direct
0.3491 0.3491 0.3017
0.6509 0.6509 0.6983
0.2500 0.7500 0.5000
0.7500 0.2500 0.5000
0.0000 0.0000 0.0000
```


Number 1: mass density 10.6 Mg/m³. Number 2: mass density 7.6 Mg/m³. Number 3: mass density 8.1 Mg/m³. Number 4: mass density 3.3 Mg/m³. Number 5: mass density 3.6 Mg/m³. Number 6: mass density 4.2 Mg/m³. Number 7: mass density 5.5 Mg/m³. Number 8: mass density 7.1 Mg/m³. Number 9: mass density 7.3 Mg/m³. Number 10: mass density 5.4 Mg/m³. Number 11: mass density 12.7 Mg/m³. Number 12: mass density 10.4 Mg/m³.